TbEr2Hg: relaxed, PBE-GGA.

Cell: 3.575 3.575 8.882 Å, 90.00 90.00 90.00°
Space group P4/mmm (No. 123)
Symmetry-distinct sites (fractional):
Tb 0.000 0.000 0.000 [1 per cell]
Er 0.500 0.500 0.278 [2 per cell]
Hg 0.000 0.000 0.500 [1 per cell]

Results
E_form, meV/atom: -231.0
VASP energy, eV per atom: -3.7455
Energy relative to the lowest polymorph listed for this composition, eV/atom: 0.006

---

Tb3Er2Hg2: relaxed, PBE-GGA.

Cell: 9.244 5.340 8.482 Å, 90.00 111.35 90.00°
Space group C2/m (No. 12)
Symmetry-distinct sites (fractional):
Tb 0.000 0.000 0.000 [2 per cell]
Tb 0.158 0.000 0.474 [4 per cell]
Er 0.075 0.500 0.724 [4 per cell]
Hg 0.213 0.500 0.138 [4 per cell]

Results
E_form, meV/atom: -240.7
VASP energy, eV per atom: -3.6150
Energy relative to the lowest polymorph listed for this composition, eV/atom: 0.000

---

Tb3ErHg5: relaxed, PBE-GGA.

Cell: 9.1056 9.1056 6.5027 Å, 90.00 90.00 120.00°
Space group P6_3/mcm (No. 193)
Symmetry-distinct sites (fractional):
Tb 0.0000 0.3699 0.2500 [6 per cell]
Er 0.0000 0.0000 0.0000 [2 per cell]
Hg 0.0000 0.2964 0.7500 [6 per cell]
Hg 0.3333 0.6667 0.0000 [4 per cell]

Results
E_form, meV/atom: -415.0
VASP energy, eV per atom: -2.6330

---

TbEr3Hg4: relaxed, PBE-GGA.

Cell: 5.210 5.210 7.479 Å, 90.00 90.00 90.00°
Space group P4/mmm (No. 123)
Symmetry-distinct sites (fractional):
Tb 0.000 0.000 0.000 [1 per cell]
Er 0.000 0.000 0.500 [1 per cell]
Er 0.500 0.500 0.000 [1 per cell]
Er 0.500 0.500 0.500 [1 per cell]
Hg 0.000 0.500 0.253 [4 per cell]

Results
E_form, meV/atom: -480.5
VASP energy, eV per atom: -2.9212
Energy relative to the lowest polymorph listed for this composition, eV/atom: 0.000

---

TbErHg4: relaxed, PBE-GGA.

Cell: 3.859 5.223 7.595 Å, 90.00 104.71 90.00°
Space group Pm (No. 6)
Symmetry-distinct sites (fractional):
Tb 0.000 0.000 0.000 [1 per cell]
Er 0.209 0.500 0.420 [1 per cell]
Hg 0.334 0.000 0.667 [1 per cell]
Hg 0.541 0.500 0.085 [1 per cell]
Hg 0.669 0.000 0.339 [1 per cell]
Hg 0.873 0.500 0.750 [1 per cell]

Results
E_form, meV/atom: -389.3
VASP energy, eV per atom: -2.1227
Energy relative to the lowest polymorph listed for this composition, eV/atom: 0.000

---

Tb7ErHg2: relaxed, PBE-GGA.

Cell: 9.072 15.512 5.233 Å, 90.00 90.00 90.00°
Space group Cmmm (No. 65)
Symmetry-distinct sites (fractional):
Tb 0.000 0.000 0.000 [2 per cell]
Tb 0.000 0.270 0.500 [4 per cell]
Tb 0.182 0.381 0.000 [8 per cell]
Er 0.000 0.500 0.500 [2 per cell]
Hg 0.000 0.193 0.000 [4 per cell]

Results
E_form, meV/atom: 284.7
VASP energy, eV per atom: -3.4731

---

TbEr2Hg: relaxed, PBE-GGA.

Cell: 4.944 11.968 7.951 Å, 90.00 90.00 90.00°
Space group Cmcm (No. 63)
Symmetry-distinct sites (fractional):
Tb 0.000 0.053 0.250 [4 per cell]
Er 0.000 0.360 0.039 [8 per cell]
Hg 0.000 0.210 0.750 [4 per cell]

Results
E_form, meV/atom: -163.7
VASP energy, eV per atom: -3.6781
Energy relative to the lowest polymorph listed for this composition, eV/atom: 0.074

---

Tb3Er2Hg3: relaxed, PBE-GGA.

Cell: 3.720 5.318 22.046 Å, 90.00 90.00 90.00°
Space group Immm (No. 71)
Symmetry-distinct sites (fractional):
Tb 0.000 0.000 0.000 [2 per cell]
Tb 0.000 0.500 0.122 [4 per cell]
Er 0.000 0.000 0.233 [4 per cell]
Hg 0.000 0.000 0.500 [2 per cell]
Hg 0.000 0.500 0.380 [4 per cell]

Results
E_form, meV/atom: -359.5
VASP energy, eV per atom: -3.3497

---

TbErHg2: relaxed, PBE-GGA.

Cell: 7.432 7.432 7.432 Å, 90.00 90.00 90.00°
Space group Fm-3m (No. 225)
Symmetry-distinct sites (fractional):
Tb 0.000 0.000 0.000 [4 per cell]
Er 0.000 0.000 0.500 [4 per cell]
Hg 0.250 0.250 0.250 [8 per cell]

Results
E_form, meV/atom: -478.0
VASP energy, eV per atom: -2.9271

---

Tb2Er2Hg7: relaxed, PBE-GGA.

Cell: 11.572 9.433 5.277 Å, 90.00 94.82 90.00°
Space group C2/m (No. 12)
Symmetry-distinct sites (fractional):
Tb 0.000 0.199 0.000 [4 per cell]
Er 0.224 0.500 0.757 [4 per cell]
Hg 0.000 0.000 0.500 [2 per cell]
Hg 0.053 0.500 0.265 [4 per cell]
Hg 0.227 0.173 0.735 [8 per cell]

Results
E_form, meV/atom: -296.0
VASP energy, eV per atom: -2.1595

---

TbEr2Hg: relaxed, PBE-GGA.

Cell: 3.5804 3.5804 31.4992 Å, 90.00 90.00 120.00°
Space group R-3m (No. 166, hexagonal axes)
Symmetry-distinct sites (fractional):
Tb 0.0000 0.0000 0.0000 [3 per cell]
Er 0.0000 0.0000 0.2426 [6 per cell]
Hg 0.0000 0.0000 0.5000 [3 per cell]

Results
E_form, meV/atom: -166.1
VASP energy, eV per atom: -3.6806
Energy relative to the lowest polymorph listed for this composition, eV/atom: 0.071

---

TbErHg4: relaxed, PBE-GGA.

Cell: 11.855 3.610 7.283 Å, 90.00 107.93 90.00°
Space group C2/m (No. 12)
Symmetry-distinct sites (fractional):
Tb 0.000 0.000 0.000 [2 per cell]
Er 0.000 0.000 0.500 [2 per cell]
Hg 0.167 0.500 0.337 [4 per cell]
Hg 0.168 0.500 0.831 [4 per cell]

Results
E_form, meV/atom: -338.6
VASP energy, eV per atom: -2.0720
Energy relative to the lowest polymorph listed for this composition, eV/atom: 0.051

---

TbEr4Hg5: relaxed, PBE-GGA.

Cell: 3.696 3.696 18.553 Å, 90.00 90.00 90.00°
Space group P4/mmm (No. 123)
Symmetry-distinct sites (fractional):
Tb 0.000 0.000 0.000 [1 per cell]
Er 0.000 0.000 0.202 [2 per cell]
Er 0.000 0.000 0.401 [2 per cell]
Hg 0.500 0.500 0.103 [2 per cell]
Hg 0.500 0.500 0.301 [2 per cell]
Hg 0.500 0.500 0.500 [1 per cell]

Results
E_form, meV/atom: -481.8
VASP energy, eV per atom: -2.9209

---

TbEr2Hg: relaxed, PBE-GGA.

Cell: 3.756 5.336 11.338 Å, 90.00 90.00 90.00°
Space group Immm (No. 71)
Symmetry-distinct sites (fractional):
Tb 0.000 0.000 0.000 [2 per cell]
Er 0.000 0.500 0.220 [4 per cell]
Hg 0.000 0.000 0.500 [2 per cell]

Results
E_form, meV/atom: -237.3
VASP energy, eV per atom: -3.7518
Energy relative to the lowest polymorph listed for this composition, eV/atom: 0.000

---

Tb9Er4Hg11: relaxed, PBE-GGA.

Cell: 15.749 22.549 3.547 Å, 90.00 90.00 90.00°
Space group Cmmm (No. 65)
Symmetry-distinct sites (fractional):
Tb 0.000 0.000 0.000 [2 per cell]
Tb 0.114 0.238 0.000 [8 per cell]
Tb 0.116 0.412 0.000 [8 per cell]
Er 0.160 0.088 0.000 [8 per cell]
Hg 0.000 0.130 0.500 [4 per cell]
Hg 0.000 0.325 0.500 [4 per cell]
Hg 0.000 0.500 0.500 [2 per cell]
Hg 0.233 0.500 0.500 [4 per cell]
Hg 0.235 0.322 0.500 [8 per cell]

Results
E_form, meV/atom: -374.0
VASP energy, eV per atom: -3.0091

---

Tb2ErHg: relaxed, PBE-GGA.

Cell: 3.6014 3.6014 31.7529 Å, 90.00 90.00 120.00°
Space group R-3m (No. 166, hexagonal axes)
Symmetry-distinct sites (fractional):
Tb 0.0000 0.0000 0.2435 [6 per cell]
Er 0.0000 0.0000 0.0000 [3 per cell]
Hg 0.0000 0.0000 0.5000 [3 per cell]

Results
E_form, meV/atom: -151.7
VASP energy, eV per atom: -3.6830
Energy relative to the lowest polymorph listed for this composition, eV/atom: 0.070

---

TbEr6Hg2: relaxed, PBE-GGA.

Cell: 12.494 3.695 11.738 Å, 90.00 108.85 90.00°
Space group C2/m (No. 12)
Symmetry-distinct sites (fractional):
Tb 0.000 0.000 0.000 [2 per cell]
Er 0.015 0.000 0.338 [4 per cell]
Er 0.187 0.500 0.584 [4 per cell]
Er 0.188 0.500 0.876 [4 per cell]
Hg 0.146 0.500 0.210 [4 per cell]

Results
E_form, meV/atom: -204.1
VASP energy, eV per atom: -3.8275

---

TbEr4Hg4: relaxed, PBE-GGA.

Cell: 9.492 9.492 5.467 Å, 90.00 90.00 90.00°
Space group P4_2/n (No. 86, origin choice 2)
Symmetry-distinct sites (fractional):
Tb 0.250 0.250 0.250 [2 per cell]
Er 0.100 0.840 0.651 [8 per cell]
Hg 0.044 0.146 0.851 [8 per cell]

Results
E_form, meV/atom: -246.0
VASP energy, eV per atom: -2.9226

---

Tb5ErHg2: relaxed, PBE-GGA.

Cell: 3.655 10.372 12.288 Å, 90.00 90.00 90.00°
Space group Immm (No. 71)
Symmetry-distinct sites (fractional):
Tb 0.000 0.000 0.000 [2 per cell]
Tb 0.000 0.276 0.363 [8 per cell]
Er 0.000 0.500 0.000 [2 per cell]
Hg 0.000 0.000 0.269 [4 per cell]

Results
E_form, meV/atom: -149.9
VASP energy, eV per atom: -3.6896

---

Tb2ErHg: relaxed, PBE-GGA.

Cell: 3.600 3.600 8.909 Å, 90.00 90.00 90.00°
Space group P4/mmm (No. 123)
Symmetry-distinct sites (fractional):
Tb 0.000 0.000 0.225 [2 per cell]
Er 0.500 0.500 0.500 [1 per cell]
Hg 0.500 0.500 0.000 [1 per cell]

Results
E_form, meV/atom: -221.4
VASP energy, eV per atom: -3.7527
Energy relative to the lowest polymorph listed for this composition, eV/atom: 0.000